Record 1
Entry from the Alexandria database: crystalline Mg2MnRu at its relaxed geometry (PBE).

abc: 4.871 4.871 2.887
angles: 90.00 90.00 108.75
Fractional coordinates of all 4 atoms:
Mg: 0.000 0.500 0.000
Mg: 0.500 0.000 0.000
Mn: 0.000 0.000 0.500
Ru: 0.500 0.500 0.500

Results
D(E_F) = 2.70 states/eV per cell
total energy = -5.23 eV/atom
energy relative to the elements = 0.18 eV/atom
distance to the lowest polymorph of the same formula = 12.86 kJ/mol of atoms

Record 2
Entry from the Alexandria database: crystalline Mg2MnRu at its relaxed geometry (PBE).

abc: 2.881 2.881 7.944
angles: 90.00 90.00 90.00
Fractional coordinates of all 4 atoms:
Mg: 0.000 0.000 0.238
Mg: 0.000 0.000 0.762
Mn: 0.500 0.500 0.500
Ru: 0.500 0.500 0.000

Results
D(E_F) = 4.22 states/eV per cell
total energy = -5.16 eV/atom
energy relative to the elements = 0.25 eV/atom
distance to the lowest polymorph of the same formula = 19.54 kJ/mol of atoms

Record 3
Entry from the Alexandria database: crystalline MgMn2Ru2 at its relaxed geometry (PBE).

abc: 7.275 7.275 2.701
angles: 90.00 90.00 90.00
Fractional coordinates of all 10 atoms:
Mg: 0.000 0.000 0.000
Mg: 0.500 0.500 0.000
Mn: 0.164 0.336 0.500
Mn: 0.336 0.836 0.500
Mn: 0.664 0.164 0.500
Mn: 0.836 0.664 0.500
Ru: 0.130 0.630 0.000
Ru: 0.370 0.130 0.000
Ru: 0.630 0.870 0.000
Ru: 0.870 0.370 0.000

Results
D(E_F) = 9.69 states/eV per cell
total energy = -7.53 eV/atom
energy relative to the elements = 0.17 eV/atom
distance to the lowest polymorph of the same formula = 3.95 kJ/mol of atoms